KHO2: relaxed, PBE.

Computed properties:
Mass density (g/cm³): 1.7
Space-group type: R-3m, No. 166
Spin magnetization (μB/f.u.): 2.0
Total energy (eV/atom): -4.0292

a = 4.884 Å, b = 4.884 Å, c = 4.884 Å
α = 54.60°, β = 54.60°, γ = 54.60°
Positions (direct):
K (0.000, 0.000, 0.000)
H (0.500, 0.500, 0.500)
O (0.407, 0.407, 0.407)
O (0.593, 0.593, 0.593)